# AcPrEuHo

A relaxed structure of AcPrEuHo (PBE, the Alexandria database).

Cell and atoms, written as POSCAR:
```
AcPrEuHo
1.0
5.994 0.000 0.000
2.997 5.191 0.000
2.997 1.730 4.894
Eu Pr Ac Ho
1 1 1 1
Direct
0.000 0.000 0.000
0.250 0.250 0.250
0.750 0.750 0.750
0.500 0.500 0.500
```

Results
Formation enthalpy at 0 K: 117 meV per atom
Calculated density: 7.5 g cm⁻³


# NaZn2As2

A relaxed structure of NaZn2As2 (PBE, the Alexandria database).

Cell and atoms, written as POSCAR:
```
NaZn2As2
1.0
7.674 0.000 0.000
0.000 7.674 0.000
0.000 0.000 3.231
Na As Zn
2 4 4
Direct
0.000 0.000 0.000
0.500 0.500 0.000
0.173 0.673 0.500
0.673 0.827 0.500
0.827 0.327 0.500
0.327 0.173 0.500
0.376 0.876 0.000
0.876 0.624 0.000
0.624 0.124 0.000
0.124 0.376 0.000
```

Results
Formation enthalpy at 0 K: -40 meV per atom
Calculated density: 5.3 g cm⁻³


# BaAlIr2

A relaxed structure of BaAlIr2 (PBE, the Alexandria database).

Cell and atoms, written as POSCAR:
```
BaAlIr2
1.0
-4.076 -2.017 0.002
0.048 -0.101 -4.546
1.697 -3.430 0.094
Ir Ba Al
2 1 1
Direct
0.000 0.000 0.000
0.500 0.500 0.000
0.000 0.500 0.500
0.500 0.000 0.500
```

Results
Formation enthalpy at 0 K: 420 meV per atom
Calculated density: 11.5 g cm⁻³
Excess energy over the best structure of this formula in the dataset: 0.803 eV/atom


# LaPmTlAg

A relaxed structure of LaPmTlAg (PBE, the Alexandria database).

Cell and atoms, written as POSCAR:
```
LaPmTlAg
1.0
-5.461 0.038 0.318
-2.900 -4.053 -2.257
-2.580 -3.621 3.187
Tl La Ag Pm
1 1 1 1
Direct
0.750 0.750 0.750
0.500 0.500 0.500
0.250 0.250 0.250
0.000 0.000 0.000
```

Results
Formation enthalpy at 0 K: -328 meV per atom
Calculated density: 8.6 g cm⁻³
Excess energy over the best structure of this formula in the dataset: 0.003 eV/atom


# HfScCr2S6

A relaxed structure of HfScCr2S6 (PBE, the Alexandria database).

Cell and atoms, written as POSCAR:
```
HfScCr2S6
1.0
6.249 0.000 0.001
3.124 5.412 0.001
3.125 1.805 5.767
Hf Sc Cr S
1 1 2 6
Direct
0.323 0.323 0.030
0.822 0.822 0.535
0.508 0.508 0.477
0.007 0.007 0.980
0.608 0.239 0.248
0.239 0.905 0.248
0.905 0.608 0.248
0.396 0.741 0.750
0.741 0.114 0.750
0.114 0.396 0.750
```

Results
Calculated total energy: -72.0 eV for the cell shown
Calculated density: 4.4 g cm⁻³


# SbPbO4

A relaxed structure of SbPbO4 (PBE, the Alexandria database).

Cell and atoms, written as POSCAR:
```
SbPbO4
1.0
5.776 -0.088 -0.908
-2.008 5.596 -1.773
-0.185 -0.088 5.844
Sb Pb O
2 2 8
Direct
0.020 0.250 0.980
0.980 0.750 0.020
0.386 0.750 0.614
0.614 0.250 0.386
0.675 0.584 0.724
0.162 0.985 0.870
0.276 0.916 0.325
0.130 0.515 0.838
0.870 0.485 0.162
0.724 0.084 0.675
0.838 0.015 0.130
0.325 0.416 0.276
```

Results
Calculated total energy: -69.2 eV for the cell shown
Calculated density: 7.0 g cm⁻³


# Hf2Te2Cl

A relaxed structure of Hf2Te2Cl (PBE, the Alexandria database).

Cell and atoms, written as POSCAR:
```
Hf2Te2Cl
1.0
8.361 0.000 0.000
0.000 8.361 0.000
0.000 0.000 3.502
Te Hf Cl
4 4 2
Direct
0.355 0.855 0.000
0.855 0.645 0.000
0.645 0.145 0.000
0.145 0.355 0.000
0.138 0.638 0.500
0.638 0.862 0.500
0.862 0.362 0.500
0.362 0.138 0.500
0.000 0.000 0.000
0.500 0.500 0.000
```

Results
Calculated density: 8.8 g cm⁻³
Excess energy over the best structure of this formula in the dataset: 0.281 eV/atom


# Pr4PdSBr2

A relaxed structure of Pr4PdSBr2 (PBE, the Alexandria database).

Cell and atoms, written as POSCAR:
```
Pr4PdSBr2
1.0
4.084 0.000 0.000
0.000 7.377 0.163
0.000 -2.551 7.466
Pr Pd S Br
4 1 1 2
Direct
0.500 0.234 0.209
0.500 0.766 0.791
0.000 0.277 0.790
0.000 0.723 0.210
0.000 0.000 0.000
0.500 0.500 0.000
0.500 0.000 0.500
0.000 0.500 0.500
```

Results
Calculated total energy: -42.1 eV for the cell shown
Calculated density: 6.3 g cm⁻³


# Rb5Bi2

A relaxed structure of Rb5Bi2 (PBE, the Alexandria database).

Cell and atoms, written as POSCAR:
```
Rb5Bi2
1.0
2.252 -7.664 1.278
7.939 3.049 4.295
-9.582 2.365 5.466
Rb Bi
10 4
Direct
0.079 0.227 0.158
0.921 0.773 0.842
0.579 0.931 0.158
0.421 0.069 0.842
0.488 0.738 0.475
0.012 0.262 0.525
0.512 0.262 0.525
0.988 0.738 0.475
0.750 0.500 0.000
0.250 0.500 0.000
0.377 0.635 0.754
0.623 0.365 0.246
0.877 0.119 0.754
0.123 0.881 0.246
```

Results
Formation enthalpy at 0 K: -291 meV per atom
Calculated density: 3.9 g cm⁻³


# DyGaCo

A relaxed structure of DyGaCo (PBE, the Alexandria database).

Cell and atoms, written as POSCAR:
```
DyGaCo
1.0
3.192 0.000 0.000
0.000 3.192 0.000
-1.596 -1.596 5.196
Co Ga Dy
1 1 1
Direct
0.973 0.973 0.946
0.582 0.582 0.165
0.294 0.294 0.589
```

Results
Formation enthalpy at 0 K: -287 meV per atom
Calculated density: 9.1 g cm⁻³


# Hg2RhAu

A relaxed structure of Hg2RhAu (PBE, the Alexandria database).

Cell and atoms, written as POSCAR:
```
Hg2RhAu
1.0
4.290 0.000 0.000
2.145 3.715 0.000
2.145 1.238 5.445
Hg Rh Au
2 1 1
Direct
0.072 0.072 0.785
0.262 0.262 0.215
0.669 0.669 0.992
0.497 0.497 0.509
```

Results
Formation enthalpy at 0 K: 273 meV per atom
Calculated density: 13.4 g cm⁻³


# MnSb2IrI

A relaxed structure of MnSb2IrI (PBE, the Alexandria database).

Cell and atoms, written as POSCAR:
```
MnSb2IrI
1.0
4.893 0.000 0.000
0.000 4.893 0.000
0.000 0.000 5.072
I Sb Ir Mn
1 2 1 1
Direct
0.000 0.000 0.500
0.000 0.500 0.000
0.500 0.000 0.000
0.500 0.500 0.500
0.000 0.000 0.000
```

Results
Calculated density: 8.4 g cm⁻³
Excess energy over the best structure of this formula in the dataset: 0.330 eV/atom